First-principles (GGA-PBE) data for a relaxed Ce5TmSb5 crystal, as listed in Alexandria via LeMat-Bulk.

It has space group C2/m (No. 12), with a = 14.034 Å, b = 6.291 Å, c = 8.871 Å, α = 90.00°, β = 108.74° and γ = 90.00°. The inequivalent atoms are Ce at (0.000, 0.000, 0.000), Ce at (0.164, 0.500, 0.330), Ce at (0.170, 0.500, 0.833), Tm at (0.000, 0.000, 0.500), Sb at (0.000, 0.500, 0.500), Sb at (0.164, 0.000, 0.829) and Sb at (0.166, 0.000, 0.338).

The calculation puts the formation energy without anion corrections at -0.82 eV/atom. The crystal system is monoclinic.